Compound: Tb12Sn3C5
Source: Alexandria
Functional: GGA-PBE
Structure: optimized geometry

Values from the calculation:
Magnetic moment: 0.00 μB/cell
V: 508.4 Å³/f.u.
Formation enthalpy at 0 K: -0.291 eV/atom

The structure in extended XYZ format:
```
80
Lattice="-9.647 -2.256 9.641 8.332 -10.998 -0.844 7.419 11.149 3.426" Properties=species:S:1:pos:R:3 pbc="T T T"
C 3.773 -1.619 1.745
C 4.166 -5.499 -0.422
C 0.000 0.000 0.000
C -0.607 -2.202 3.832
C -1.114 4.446 6.534
C -0.657 -6.627 4.398
C 7.825 -4.350 1.857
C 0.298 6.688 10.123
C 0.755 -4.385 7.988
C 2.989 6.141 6.080
C 3.116 -8.246 6.143
C 3.052 -1.053 6.111
C -4.823 -1.128 4.820
C 3.710 5.575 1.713
C 5.350 2.280 4.235
C 5.806 -8.794 2.100
C 7.876 0.075 1.291
C -1.721 2.244 10.366
C 6.712 0.097 8.390
C 2.331 -0.486 10.478
Tb -5.673 -2.636 6.718
Tb 4.248 -1.911 4.007
Tb -4.036 -3.120 10.169
Tb -2.479 -2.100 5.215
Tb 5.244 -1.417 7.399
Tb -3.152 -6.739 9.590
Tb 6.669 -4.898 3.803
Tb 7.531 -8.994 0.547
Tb 7.495 -4.537 7.257
Tb -0.518 -5.994 6.883
Tb -0.834 -2.804 8.623
Tb -0.223 -11.585 7.179
Tb 8.577 -2.187 2.284
Tb 0.282 -4.349 3.675
Tb 9.560 -5.833 1.391
Tb 1.384 4.459 5.935
Tb 2.175 0.033 1.365
Tb 1.750 -7.521 4.401
Tb 1.949 -8.554 8.136
Tb 3.060 -3.735 1.081
Tb 10.393 -2.757 5.630
Tb 2.435 -3.487 6.647
Tb 1.935 -5.256 9.797
Tb 1.711 4.891 10.571
Tb 3.670 1.382 5.576
Tb 4.169 3.150 2.426
Tb 4.393 -6.997 1.652
Tb 4.155 6.448 4.087
Tb -4.288 0.652 6.592
Tb 3.045 1.629 11.142
Tb 4.354 5.416 7.822
Tb 4.721 -6.564 6.288
Tb 3.929 -2.138 10.858
Tb -3.456 3.727 10.832
Tb -2.473 0.081 9.939
Tb 6.328 9.479 5.043
Tb 5.822 2.244 8.548
Tb -1.390 2.431 4.965
Tb 6.622 3.888 5.340
Tb 6.938 0.699 3.599
Tb -1.427 6.888 11.675
Tb -0.564 2.792 8.420
Tb 8.584 -0.005 7.008
Tb 9.256 4.633 2.633
Tb 0.860 -0.689 4.823
Tb 10.141 1.014 2.054
Tb 1.856 -0.195 8.216
Tb 11.777 0.531 5.505
Sn -3.183 -4.423 7.342
Sn -1.265 -8.829 8.231
Sn 7.268 -2.127 5.123
Sn 1.412 2.242 3.590
Sn -5.544 -0.562 9.187
Sn 3.445 -4.933 3.944
Sn 2.660 2.827 8.279
Sn 11.649 -1.544 3.036
Sn 4.692 -4.348 8.633
Sn -1.164 0.021 7.099
Sn 7.369 6.724 3.992
Sn 9.288 2.317 4.881
```

***

Compound: Tb12Sn6C
Source: Alexandria
Functional: GGA-PBE
Structure: optimized geometry

Values from the calculation:
Magnetic moment: 0.00 μB/cell
V: 566.1 Å³/f.u.
Formation enthalpy at 0 K: -0.525 eV/atom

The structure in extended XYZ format:
```
19
Lattice="-7.361 0.389 -3.768 -2.857 -5.271 5.708 -1.738 6.558 4.743" Properties=species:S:1:pos:R:3 pbc="T T T"
Tb -8.348 0.208 2.466
Tb -6.639 -0.215 5.630
Tb -6.983 3.088 4.185
Tb -3.608 1.469 4.217
Tb -5.317 1.891 1.053
Tb -4.973 -1.411 2.498
Tb -7.741 1.864 -1.810
Tb -8.928 -3.100 0.794
Tb -6.983 6.110 1.963
Tb -4.216 -0.188 8.493
Tb -3.029 4.776 5.889
Tb -4.973 -4.433 4.720
Sn -7.548 -2.650 3.750
Sn -6.795 -0.760 -0.060
Sn -3.783 -1.465 5.505
Sn -4.408 4.327 2.934
Sn -5.161 2.437 6.744
Sn -8.173 3.141 1.179
C 0.000 0.000 0.000
```

***

Compound: Tb7Sn3C2
Source: Alexandria
Functional: GGA-PBE
Structure: optimized geometry

Values from the calculation:
Magnetic moment: 0.00 μB/cell
V: 305.8 Å³/f.u.
Formation enthalpy at 0 K: -0.640 eV/atom

The structure in extended XYZ format:
```
12
Lattice="-4.317 0.977 -2.057 -1.287 -4.684 0.477 -2.138 4.391 12.362" Properties=species:S:1:pos:R:3 pbc="T T T"
Tb 0.000 0.000 0.000
Tb -6.153 2.540 8.330
Tb -4.638 -0.290 9.597
Tb -1.589 -1.856 2.453
Tb -3.104 0.974 1.186
Tb -1.923 0.988 4.505
Tb -5.819 -0.304 6.278
Sn -3.155 1.621 7.391
Sn -4.587 -0.937 3.392
Sn -2.802 -1.854 -0.790
C -0.967 0.497 2.266
C -6.775 0.187 8.517
```

***

Compound: TbTh2SnC
Source: Alexandria
Functional: GGA-PBE
Structure: optimized geometry

Values from the calculation:
Magnetic moment: 0.00 μB/cell
V: 127.4 Å³/f.u.
Formation enthalpy at 0 K: -0.439 eV/atom

The structure in extended XYZ format:
```
5
Lattice="-1.370 -4.792 0.320 1.662 -0.157 4.767 -4.564 1.414 1.638" Properties=species:S:1:pos:R:3 pbc="T T T"
Tb -0.685 -2.396 0.160
Th -2.282 0.707 0.819
Th 0.831 -0.079 2.384
Sn -2.136 -1.767 3.362
C 0.000 0.000 0.000
```

***

Compound: Tb4TlSnC
Source: Alexandria
Functional: GGA-PBE
Structure: optimized geometry

Values from the calculation:
Magnetic moment: 0.00 μB/cell
V: 187.6 Å³/f.u.
Formation enthalpy at 0 K: -0.477 eV/atom

The structure in extended XYZ format:
```
14
Lattice="-2.724 6.271 -0.874 -5.380 -2.793 -3.270 -2.459 -3.836 7.322" Properties=species:S:1:pos:R:3 pbc="T T T"
Tb -5.849 1.861 4.407
Tb -7.178 -2.671 3.211
Tb -4.714 -2.219 -1.229
Tb -3.385 2.313 -0.032
Tb -5.281 -0.179 1.589
Tb -1.230 -1.918 3.661
Tb -2.592 1.217 3.224
Tb -3.919 -3.314 2.026
Tl -6.254 0.884 -1.345
Tl -4.309 -1.241 4.524
Sn -2.205 -0.856 0.733
Sn -8.358 0.498 2.445
C -5.950 -2.446 0.999
C -4.613 2.088 2.179
```

***

Compound: Tb3YSn2C
Source: Alexandria
Functional: GGA-PBE
Structure: optimized geometry

Values from the calculation:
Magnetic moment: 0.00 μB/cell
V: 185.9 Å³/f.u.
Formation enthalpy at 0 K: -0.665 eV/atom

The structure in extended XYZ format:
```
7
Lattice="-0.539 -1.242 4.610 3.670 -3.106 -0.408 3.563 7.950 0.055" Properties=species:S:1:pos:R:3 pbc="T T T"
Tb 1.835 -1.553 -0.204
Tb 1.636 1.843 0.688
Tb 5.057 1.758 3.570
Y -0.270 -0.621 2.305
Sn 3.002 -0.556 2.705
Sn 3.691 4.157 1.552
C 0.000 0.000 0.000
```

***

Please write out number 1 again, unchanged.
Compound: Tb12Sn3C5
Source: Alexandria
Functional: GGA-PBE
Structure: optimized geometry

Values from the calculation:
Magnetic moment: 0.00 μB/cell
V: 508.4 Å³/f.u.
Formation enthalpy at 0 K: -0.291 eV/atom

The structure in extended XYZ format:
```
80
Lattice="-9.647 -2.256 9.641 8.332 -10.998 -0.844 7.419 11.149 3.426" Properties=species:S:1:pos:R:3 pbc="T T T"
C 3.773 -1.619 1.745
C 4.166 -5.499 -0.422
C 0.000 0.000 0.000
C -0.607 -2.202 3.832
C -1.114 4.446 6.534
C -0.657 -6.627 4.398
C 7.825 -4.350 1.857
C 0.298 6.688 10.123
C 0.755 -4.385 7.988
C 2.989 6.141 6.080
C 3.116 -8.246 6.143
C 3.052 -1.053 6.111
C -4.823 -1.128 4.820
C 3.710 5.575 1.713
C 5.350 2.280 4.235
C 5.806 -8.794 2.100
C 7.876 0.075 1.291
C -1.721 2.244 10.366
C 6.712 0.097 8.390
C 2.331 -0.486 10.478
Tb -5.673 -2.636 6.718
Tb 4.248 -1.911 4.007
Tb -4.036 -3.120 10.169
Tb -2.479 -2.100 5.215
Tb 5.244 -1.417 7.399
Tb -3.152 -6.739 9.590
Tb 6.669 -4.898 3.803
Tb 7.531 -8.994 0.547
Tb 7.495 -4.537 7.257
Tb -0.518 -5.994 6.883
Tb -0.834 -2.804 8.623
Tb -0.223 -11.585 7.179
Tb 8.577 -2.187 2.284
Tb 0.282 -4.349 3.675
Tb 9.560 -5.833 1.391
Tb 1.384 4.459 5.935
Tb 2.175 0.033 1.365
Tb 1.750 -7.521 4.401
Tb 1.949 -8.554 8.136
Tb 3.060 -3.735 1.081
Tb 10.393 -2.757 5.630
Tb 2.435 -3.487 6.647
Tb 1.935 -5.256 9.797
Tb 1.711 4.891 10.571
Tb 3.670 1.382 5.576
Tb 4.169 3.150 2.426
Tb 4.393 -6.997 1.652
Tb 4.155 6.448 4.087
Tb -4.288 0.652 6.592
Tb 3.045 1.629 11.142
Tb 4.354 5.416 7.822
Tb 4.721 -6.564 6.288
Tb 3.929 -2.138 10.858
Tb -3.456 3.727 10.832
Tb -2.473 0.081 9.939
Tb 6.328 9.479 5.043
Tb 5.822 2.244 8.548
Tb -1.390 2.431 4.965
Tb 6.622 3.888 5.340
Tb 6.938 0.699 3.599
Tb -1.427 6.888 11.675
Tb -0.564 2.792 8.420
Tb 8.584 -0.005 7.008
Tb 9.256 4.633 2.633
Tb 0.860 -0.689 4.823
Tb 10.141 1.014 2.054
Tb 1.856 -0.195 8.216
Tb 11.777 0.531 5.505
Sn -3.183 -4.423 7.342
Sn -1.265 -8.829 8.231
Sn 7.268 -2.127 5.123
Sn 1.412 2.242 3.590
Sn -5.544 -0.562 9.187
Sn 3.445 -4.933 3.944
Sn 2.660 2.827 8.279
Sn 11.649 -1.544 3.036
Sn 4.692 -4.348 8.633
Sn -1.164 0.021 7.099
Sn 7.369 6.724 3.992
Sn 9.288 2.317 4.881
```